The following is a PBE+U calculation of crystalline CrH2F5 at its relaxed geometry, from the Alexandria database.

The total DFT energy (no corrections) comes out at -0.369 Ry per atom.

Cell: 7.0285 7.4438 3.8783 Å, 90.00 111.17 90.00°
Last column: nearest neighbours and their distance in Å.
Space group Cm (No. 8)
One atom of each set of equivalent atoms:
Cr: 0.0000 0.0000 0.0000 [2 per cell]  5 F 1.81-1.99
H: 0.0781 0.3611 0.8997 [4 per cell]  1 F 1.04
F: 0.1799 0.5000 0.8305 [2 per cell]  2 H 1.34
F: 0.2749 0.0000 0.2107 [2 per cell]  1 Cr 1.81
F: 0.4729 0.5000 0.4844 [2 per cell]  2 Cr 1.94-1.96
F: 0.4896 0.2328 0.9712 [4 per cell]  1 H 1.04